Record 1
Li2Sn2BRh4 PBE optimized geometry; E_form = -0.519 eV/atom; VASP energy = -5.84 eV/atom
1.0
-2.921 2.921 3.786
2.921 -2.921 3.786
2.921 2.921 -3.786
Li Sn B Rh
2 2 1 4
direct
0.215 0.215 0.000
0.785 0.785 0.000
0.250 0.750 0.500
0.750 0.250 0.500
0.500 0.500 0.000
0.254 0.254 0.508
0.254 0.746 0.000
0.746 0.254 0.000
0.746 0.746 0.492

Record 2
Li2SnB2Rh5 PBE optimized geometry; E_form = -0.443 eV/atom; VASP energy = -6.24 eV/atom
1.0
9.599 0.000 0.000
0.000 9.599 0.000
0.000 0.000 2.928
Li Sn B Rh
4 2 4 10
direct
0.176 0.324 0.000
0.324 0.824 0.000
0.676 0.176 0.000
0.824 0.676 0.000
0.000 0.000 0.000
0.500 0.500 0.000
0.123 0.623 0.000
0.377 0.123 0.000
0.623 0.877 0.000
0.877 0.377 0.000
0.000 0.500 0.500
0.071 0.777 0.500
0.223 0.071 0.500
0.277 0.571 0.500
0.429 0.277 0.500
0.500 0.000 0.500
0.571 0.723 0.500
0.723 0.429 0.500
0.777 0.929 0.500
0.929 0.223 0.500

Record 3
LiSn2B2Rh5 PBE optimized geometry; E_form = -0.303 eV/atom; VASP energy = -6.31 eV/atom
1.0
9.437 0.000 0.000
0.000 9.437 0.000
0.000 0.000 3.057
Li Sn B Rh
2 4 4 10
direct
0.000 0.000 0.000
0.500 0.500 0.000
0.179 0.321 0.000
0.321 0.821 0.000
0.679 0.179 0.000
0.821 0.679 0.000
0.126 0.626 0.000
0.374 0.126 0.000
0.626 0.874 0.000
0.874 0.374 0.000
0.000 0.500 0.500
0.069 0.781 0.500
0.219 0.069 0.500
0.281 0.569 0.500
0.431 0.281 0.500
0.500 0.000 0.500
0.569 0.719 0.500
0.719 0.431 0.500
0.781 0.931 0.500
0.931 0.219 0.500

Record 4
SrLiB2Rh PBE optimized geometry; E_form = 0.634 eV/atom; VASP energy = -4.23 eV/atom
1.0
4.201 0.000 0.000
0.000 4.201 0.000
0.000 0.000 5.486
Sr Li B Rh
1 1 2 1
direct
0.000 0.000 0.000
0.500 0.500 0.000
0.000 0.500 0.500
0.500 0.000 0.500
0.000 0.000 0.500

Record 5
SrLi2BRh PBE optimized geometry; E_form = -0.076 eV/atom; VASP energy = -3.98 eV/atom
1.0
4.519 0.000 0.000
0.000 4.519 0.000
0.000 0.000 4.182
Sr Li B Rh
1 2 1 1
direct
0.000 0.000 0.000
0.000 0.500 0.500
0.500 0.000 0.500
0.500 0.500 0.500
0.500 0.500 0.000

Record 6
SrLiBRh2 PBE optimized geometry; E_form = -0.348 eV/atom; VASP energy = -5.34 eV/atom
1.0
4.228 0.000 0.000
0.000 4.228 0.000
0.000 0.000 4.488
Sr Li B Rh
1 1 1 2
direct
0.000 0.000 0.000
0.500 0.500 0.000
0.500 0.500 0.500
0.000 0.500 0.500
0.500 0.000 0.500

Record 7
Li2TaBRh PBE optimized geometry; E_form = 1.698 eV/atom; VASP energy = -4.24 eV/atom
1.0
4.767 0.000 0.000
0.000 4.767 0.000
0.000 0.000 4.036
Li Ta B Rh
2 1 1 1
direct
0.000 0.500 0.000
0.500 0.000 0.000
0.000 0.000 0.000
0.000 0.000 0.500
0.500 0.500 0.500

Record 8
LiTh3B2Rh9 PBE optimized geometry; E_form = -0.767 eV/atom; VASP energy = -7.68 eV/atom
1.0
6.077 0.000 0.000
-3.038 5.263 0.000
0.000 0.000 7.503
Li Th B Rh
1 3 2 9
direct
0.000 0.000 0.000
0.000 0.000 0.500
0.333 0.667 0.159
0.667 0.333 0.841
0.333 0.667 0.663
0.667 0.333 0.337
0.000 0.500 0.500
0.173 0.345 0.821
0.173 0.827 0.821
0.345 0.173 0.179
0.500 0.000 0.500
0.500 0.500 0.500
0.655 0.827 0.821
0.827 0.173 0.179
0.827 0.655 0.179